## YAuSe2 (PBE-GGA)

Data for YAuSe2 after structural relaxation.

a b c (Å): 3.6925 3.7018 7.0740
angles (deg): 76.19 90.00 90.00
With the nearest neighbours (Å) after each atom.
Sites, in units of the cell vectors:
Au 0.5000 0.7500 0.7500  4 Se 2.71
Se 0.0000 0.8115 0.0218  2 Au 2.71, 2 Y 2.95
Se 0.0000 0.6885 0.4782  2 Au 2.71, 2 Y 2.95
Y 0.5000 0.2500 0.2500  8 Se 2.95-3.15

Values from the calculation:
**ρ**: 7.8 g/cm³
**Spin magnetization**: 0.00 μB per formula unit
**Formation energy from raw total energies**: -879 meV/atom


## YAl4IrPd2 (PBE-GGA)

Data for YAl4IrPd2 after structural relaxation.

a b c (Å): 4.2638 4.2638 9.1307
angles (deg): 76.50 76.50 60.00
With the nearest neighbours (Å) after each atom.
Sites, in units of the cell vectors:
Y 0.0000 0.0000 0.0000  6 Al 3.07
Al 0.4027 0.4027 0.7918  3 Pd 2.57, 1 Ir 2.57
Al 0.8656 0.8656 0.4033  3 Ir 2.60, 4 Pd 2.65-2.69
Al 0.1344 0.1344 0.5967  3 Ir 2.60, 4 Pd 2.65-2.69
Al 0.5973 0.5973 0.2082  3 Pd 2.57, 1 Ir 2.57
Ir 0.5000 0.5000 0.5000  8 Al 2.57-2.60
Pd 0.7635 0.7635 0.7096  7 Al 2.57-2.69
Pd 0.2365 0.2365 0.2904  7 Al 2.57-2.69

Values from the calculation:
**ΔH_f (0 K)**: -770 meV/atom
**ρ**: 7.2 g/cm³
**Spin magnetization**: 0.00 μB per formula unit


## LiYSiPt (PBE-GGA)

Data for LiYSiPt after structural relaxation.

a b c (Å): 4.5715 4.5715 4.5715
angles (deg): 60.00 60.00 60.00
With the nearest neighbours (Å) after each atom.
Sites, in units of the cell vectors:
Y 0.0000 0.0000 0.0000  4 Pt 2.80, 4 Li 2.80
Si 0.5000 0.5000 0.5000  4 Pt 2.80, 4 Li 2.80
Pt 0.2500 0.2500 0.2500  4 Si 2.80, 4 Y 2.80
Li 0.7500 0.7500 0.7500  4 Si 2.80, 4 Y 2.80

Values from the calculation:
**ρ**: 7.8 g/cm³
**Spin magnetization**: 0.00 μB per formula unit
**Formation energy from raw total energies**: -809 meV/atom


## HfMnCl3 (PBE-GGA)

Data for HfMnCl3 after structural relaxation.

a b c (Å): 5.0112 5.0112 5.0112
angles (deg): 90.00 90.00 90.00
With the nearest neighbours (Å) after each atom.
Sites, in units of the cell vectors:
Mn 0.5000 0.5000 0.5000  12 Cl 3.54
Hf 0.0000 0.0000 0.0000  6 Cl 2.51
Cl 0.0000 0.5000 0.0000  2 Hf 2.51
Cl 0.0000 0.0000 0.5000  2 Hf 2.51
Cl 0.5000 0.0000 0.0000  2 Hf 2.51

Values from the calculation:
**ρ**: 4.5 g/cm³
**Excess energy over the best structure of this formula in the dataset**: 0 meV per atom
**Spin magnetization**: 5.23 μB per formula unit
**Formation energy from raw total energies**: -435 meV/atom


## Na3Er3ZrSe8 (PBE-GGA)

Data for Na3Er3ZrSe8 after structural relaxation.

a b c (Å): 8.1091 8.1077 8.4924
angles (deg): 118.53 90.00 120.01
With the nearest neighbours (Å) after each atom.
Sites, in units of the cell vectors:
Na 0.0000 0.0000 0.0000  6 Se 3.03-3.04
Na 0.0000 0.5000 0.0000  6 Se 3.03-3.04
Na 0.5000 0.5000 0.0000  6 Se 3.03-3.04
Er 0.5000 0.0000 0.5000  6 Se 2.84-2.85
Er 0.5000 0.5000 0.5000  6 Se 2.84-2.85
Er 0.0000 0.5000 0.5000  6 Se 2.84-2.85
Zr 0.0000 0.0000 0.5000  6 Se 2.74-2.75
Se 0.2572 0.5145 0.2719  3 Er 2.84, 3 Na 3.03
Se 0.7428 0.4855 0.7281  3 Er 2.84, 3 Na 3.03
Se 0.7657 0.5314 0.2796  1 Zr 2.75, 2 Er 2.85, 2 Na 3.04
Se 0.2343 0.4686 0.7204  1 Zr 2.75, 2 Er 2.85, 2 Na 3.04
Se 0.7657 0.0138 0.2796  1 Zr 2.74, 2 Er 2.85, 2 Na 3.03-3.04
Se 0.2343 0.9862 0.7204  1 Zr 2.74, 2 Er 2.85, 2 Na 3.03-3.04
Se 0.2480 0.0138 0.2796  1 Zr 2.74, 2 Er 2.85, 2 Na 3.03-3.04
Se 0.7520 0.9862 0.7204  1 Zr 2.74, 2 Er 2.85, 2 Na 3.03-3.04

Values from the calculation:
**ρ**: 5.3 g/cm³
**Spin magnetization**: 0.00 μB per formula unit
**Formation energy from raw total energies**: -1624 meV/atom


## TiGa2AgBr (PBE-GGA)

Data for TiGa2AgBr after structural relaxation.

a b c (Å): 4.8389 5.5252 4.8389
angles (deg): 90.00 90.00 90.00
With the nearest neighbours (Å) after each atom.
Sites, in units of the cell vectors:
Ga 0.0000 0.0000 0.5000  2 Ag 2.42
Ga 0.5000 0.0000 0.0000  2 Ag 2.42
Br 0.5000 0.5000 0.5000  4 Ti 3.42, 8 Ga 3.67
Ag 0.0000 0.0000 0.0000  4 Ga 2.42
Ti 0.0000 0.5000 0.0000  2 Ag 2.76

Values from the calculation:
**ρ**: 4.8 g/cm³
**Spin magnetization**: 1.99 μB per formula unit
**Formation energy from raw total energies**: 398 meV/atom


## Ac3Si2Hg4 (PBE-GGA)

Data for Ac3Si2Hg4 after structural relaxation.

a b c (Å): 4.5645 6.4827 9.6617
angles (deg): 107.08 90.00 110.61
With the nearest neighbours (Å) after each atom.
Sites, in units of the cell vectors:
Ac 0.6777 0.3554 0.6326  3 Si 3.29-3.30, 7 Hg 3.34-3.64
Ac 0.0000 0.0000 0.0000  4 Hg 3.31-3.37, 4 Si 3.45
Ac 0.3223 0.6446 0.3674  3 Si 3.29-3.30, 7 Hg 3.34-3.64
Si 0.6160 0.2319 0.2757  3 Hg 2.77-2.78
Si 0.3840 0.7681 0.7243  3 Hg 2.77-2.78
Hg 0.7564 0.5127 0.0967  1 Si 2.78, 2 Hg 2.92
Hg 0.2436 0.4873 0.9033  1 Si 2.78, 2 Hg 2.92
Hg 0.9815 0.9629 0.6504  2 Si 2.77, 1 Hg 3.08
Hg 0.0185 0.0371 0.3496  2 Si 2.77, 1 Hg 3.08

Values from the calculation:
**ρ**: 10.1 g/cm³
**Spin magnetization**: 0.00 μB per formula unit
**Formation energy from raw total energies**: -471 meV/atom


## BaTeIr2 (PBE-GGA)

Data for BaTeIr2 after structural relaxation.

a b c (Å): 5.6017 6.0300 3.1035
angles (deg): 75.08 90.02 117.68
With the nearest neighbours (Å) after each atom.
Sites, in units of the cell vectors:
Ba 0.5000 0.5000 0.0000  4 Ir 3.01, 2 Ba 3.10, 4 Te 3.20
Ir 0.0000 0.0000 0.0000  2 Ba 3.01, 2 Te 3.01, 6 Ir 3.10-3.20
Ir 0.5000 0.0000 0.5000  2 Te 3.01, 2 Ba 3.01, 6 Ir 3.10-3.20
Te 0.0000 0.5000 0.5000  4 Ir 3.01, 2 Te 3.10, 4 Ba 3.20

Values from the calculation:
**ρ**: 12.1 g/cm³
**Spin magnetization**: 0.00 μB per formula unit
**Formation energy from raw total energies**: 634 meV/atom


## PuZrHgAu (PBE-GGA)

Data for PuZrHgAu after structural relaxation.

a b c (Å): 5.0861 5.0861 5.0861
angles (deg): 60.00 60.00 60.00
With the nearest neighbours (Å) after each atom.
Sites, in units of the cell vectors:
Au 0.5000 0.5000 0.5000  4 Zr 3.11, 4 Pu 3.11
Hg 0.0000 0.0000 0.0000  4 Pu 3.11, 4 Zr 3.11
Zr 0.7500 0.7500 0.7500  4 Hg 3.11, 4 Au 3.11
Pu 0.2500 0.2500 0.2500  4 Hg 3.11, 4 Au 3.11

Values from the calculation:
**ΔH_f (0 K)**: -163 meV/atom
**ρ**: 13.1 g/cm³
**Excess energy over the best structure of this formula in the dataset**: 115 meV per atom
**Spin magnetization**: 6.71 μB per formula unit


## Th6Ir2Rh3Se (PBE-GGA)

Data for Th6Ir2Rh3Se after structural relaxation.

a b c (Å): 4.1082 8.4397 9.2999
angles (deg): 103.46 102.76 90.00
With the nearest neighbours (Å) after each atom.
Sites, in units of the cell vectors:
Th 0.3253 0.9121 0.6507  3 Rh 2.90-2.95, 2 Ir 2.92, 1 Se 3.08
Th 0.6665 0.5805 0.3331  3 Rh 2.93-2.97, 3 Ir 2.95
Th 0.6747 0.0879 0.3493  3 Rh 2.90-2.95, 2 Ir 2.92, 1 Se 3.08
Th 0.0036 0.2684 0.0071  3 Rh 2.85-2.90, 1 Ir 2.87, 2 Se 3.05
Th 0.9964 0.7316 0.9929  3 Rh 2.85-2.90, 1 Ir 2.87, 2 Se 3.05
Th 0.3335 0.4195 0.6669  3 Rh 2.93-2.97, 3 Ir 2.95
Ir 0.8338 0.6711 0.6677  6 Th 2.87-2.95
Ir 0.1662 0.3289 0.3323  6 Th 2.87-2.95
Rh 0.5000 0.5000 0.0000  6 Th 2.85-2.93
Rh 0.8394 0.1687 0.6788  6 Th 2.90-2.97
Rh 0.1606 0.8313 0.3212  6 Th 2.90-2.97
Se 0.5000 0.0000 0.0000  6 Th 3.05-3.08

Values from the calculation:
**ρ**: 11.8 g/cm³
**Spin magnetization**: 0.00 μB per formula unit
**Formation energy from raw total energies**: -1005 meV/atom


## Cd4RuRh (PBE-GGA)

Data for Cd4RuRh after structural relaxation.

a b c (Å): 5.4387 5.4387 5.4387
angles (deg): 60.00 60.00 60.00
With the nearest neighbours (Å) after each atom.
Sites, in units of the cell vectors:
Cd 0.8751 0.3750 0.3750  6 Cd 2.72
Cd 0.3750 0.3750 0.8751  6 Cd 2.72
Cd 0.3750 0.8751 0.3750  6 Cd 2.72
Cd 0.3750 0.3750 0.3750  6 Cd 2.72
Ru 0.0000 0.0000 0.0000  12 Cd 3.19, 4 Rh 3.33
Rh 0.7500 0.7500 0.7500  12 Cd 3.19, 4 Ru 3.33

Values from the calculation:
**ΔH_f (0 K)**: 521 meV/atom
**ρ**: 9.5 g/cm³
**Spin magnetization**: 1.82 μB per formula unit


## LaErLuMg (PBE-GGA)

Data for LaErLuMg after structural relaxation.

a b c (Å): 5.5460 5.5460 5.5460
angles (deg): 60.00 60.00 60.00
With the nearest neighbours (Å) after each atom.
Sites, in units of the cell vectors:
Er 0.5000 0.5000 0.5000  4 Mg 3.40, 4 Lu 3.40
Mg 0.7500 0.7500 0.7500  4 La 3.40, 4 Er 3.40
Lu 0.2500 0.2500 0.2500  4 Er 3.40, 4 La 3.40
La 0.0000 0.0000 0.0000  4 Lu 3.40, 4 Mg 3.40

Values from the calculation:
**ΔH_f (0 K)**: 19 meV/atom
**ρ**: 7.0 g/cm³
**Spin magnetization**: 0.00 μB per formula unit


## PmPuInPd (PBE-GGA)

Data for PmPuInPd after structural relaxation.

a b c (Å): 5.2461 5.2461 5.2461
angles (deg): 60.00 60.00 60.00
With the nearest neighbours (Å) after each atom.
Sites, in units of the cell vectors:
Pm 0.7500 0.7500 0.7500  4 Pd 3.21, 4 In 3.21
In 0.5000 0.5000 0.5000  4 Pm 3.21, 4 Pu 3.21
Pd 0.0000 0.0000 0.0000  4 Pm 3.21, 4 Pu 3.21
Pu 0.2500 0.2500 0.2500  4 In 3.21, 4 Pd 3.21

Values from the calculation:
**ΔH_f (0 K)**: -314 meV/atom
**ρ**: 9.9 g/cm³
**Spin magnetization**: 5.63 μB per formula unit


## SrAsH2Rh2 (PBE-GGA)

Data for SrAsH2Rh2 after structural relaxation.

a b c (Å): 5.6324 6.0791 6.0749
angles (deg): 97.83 90.00 90.00
With the nearest neighbours (Å) after each atom.
Sites, in units of the cell vectors:
Sr 0.7500 0.3073 0.6929  2 H 2.60-2.61
Sr 0.2500 0.6927 0.3071  2 H 2.60-2.61
As 0.2500 0.1391 0.8601  4 Rh 2.41
As 0.7500 0.8609 0.1399  4 Rh 2.41
H 0.2500 0.2733 0.3547  2 Rh 1.78
H 0.2500 0.6444 0.7276  2 Rh 1.78
H 0.7500 0.7267 0.6453  2 Rh 1.78
H 0.7500 0.3556 0.2724  2 Rh 1.78
Rh 0.5000 0.1859 0.1853  2 H 1.78
Rh 0.0000 0.1859 0.1853  2 H 1.78
Rh 0.0000 0.8141 0.8147  2 H 1.78
Rh 0.5000 0.8141 0.8147  2 H 1.78

Values from the calculation:
**ρ**: 6.0 g/cm³
**E**: -5.083 eV/atom
**Spin magnetization**: 0.00 μB per formula unit


## PmNpGaGe (PBE-GGA)

Data for PmNpGaGe after structural relaxation.

a b c (Å): 5.0907 5.0907 5.0907
angles (deg): 60.00 60.00 60.00
With the nearest neighbours (Å) after each atom.
Sites, in units of the cell vectors:
Np 0.0000 0.0000 0.0000  4 Ge 3.12, 4 Ga 3.12
Ge 0.7500 0.7500 0.7500  4 Pm 3.12, 4 Np 3.12
Ga 0.2500 0.2500 0.2500  4 Np 3.12, 4 Pm 3.12
Pm 0.5000 0.5000 0.5000  4 Ge 3.12, 4 Ga 3.12

Values from the calculation:
**ΔH_f (0 K)**: -242 meV/atom
**ρ**: 9.3 g/cm³
**Spin magnetization**: 4.32 μB per formula unit


## BeOsN3 (PBE-GGA)

Data for BeOsN3 after structural relaxation.

a b c (Å): 3.8272 3.8272 3.8272
angles (deg): 90.00 90.00 90.00
With the nearest neighbours (Å) after each atom.
Sites, in units of the cell vectors:
Be 0.5000 0.5000 0.5000  12 N 2.71
Os 0.0000 0.0000 0.0000  6 N 1.91
N 0.0000 0.5000 0.0000  2 Os 1.91
N 0.0000 0.0000 0.5000  2 Os 1.91
N 0.5000 0.0000 0.0000  2 Os 1.91

Values from the calculation:
**ρ**: 7.1 g/cm³
**Spin magnetization**: 0.00 μB per formula unit
**Formation energy from raw total energies**: 1392 meV/atom


## LaAlMo2Pd (PBE-GGA)

Data for LaAlMo2Pd after structural relaxation.

a b c (Å): 4.9615 4.5886 4.9615
angles (deg): 90.00 90.00 90.00
With the nearest neighbours (Å) after each atom.
Sites, in units of the cell vectors:
Mo 0.0000 0.0000 0.5000  2 Pd 2.48
Mo 0.5000 0.0000 0.0000  2 Pd 2.48
Al 0.0000 0.5000 0.0000  2 Pd 2.29
Pd 0.0000 0.0000 0.0000  2 Al 2.29, 4 Mo 2.48
La 0.5000 0.5000 0.5000  8 Mo 3.38, 4 Al 3.51

Values from the calculation:
**ΔH_f (0 K)**: 835 meV/atom
**ρ**: 6.8 g/cm³
**Spin magnetization**: 0.60 μB per formula unit


## Hg2RuPb (PBE-GGA)

Data for Hg2RuPb after structural relaxation.

a b c (Å): 7.1851 7.1851 7.1851
angles (deg): 154.84 142.19 45.96
With the nearest neighbours (Å) after each atom.
Sites, in units of the cell vectors:
Hg 0.0732 0.0732 0.0000  2 Ru 2.83, 2 Hg 3.13
Hg 0.7457 0.2457 0.5000  4 Ru 2.81, 2 Hg 3.13
Pb 0.4294 0.4294 0.0000  2 Ru 2.83, 2 Pb 3.13
Ru 0.2517 0.7517 0.5000  6 Hg 2.81-2.83, 2 Pb 2.83, 2 Ru 3.13

Values from the calculation:
**ΔH_f (0 K)**: 316 meV/atom
**ρ**: 12.2 g/cm³
**Spin magnetization**: 0.00 μB per formula unit


## Re2TcNiH (PBE-GGA)

Data for Re2TcNiH after structural relaxation.

a b c (Å): 4.4162 4.4395 4.4162
angles (deg): 90.00 90.00 90.00
With the nearest neighbours (Å) after each atom.
Sites, in units of the cell vectors:
Re 0.0000 0.0000 0.5000  2 Ni 2.21
Re 0.5000 0.0000 0.0000  2 Ni 2.21
Tc 0.0000 0.5000 0.0000  2 Ni 2.22
H 0.5000 0.5000 0.5000  4 Tc 3.12, 8 Re 3.13
Ni 0.0000 0.0000 0.0000  4 Re 2.21, 2 Tc 2.22

Values from the calculation:
**ρ**: 10.2 g/cm³
**Excess energy over the best structure of this formula in the dataset**: 2368 meV per atom
**Spin magnetization**: 0.00 μB per formula unit


## Ca2FeTc (PBE-GGA)

Data for Ca2FeTc after structural relaxation.

a b c (Å): 9.8298 9.8298 9.8298
angles (deg): 18.55 18.55 18.55
With the nearest neighbours (Å) after each atom.
Sites, in units of the cell vectors:
Ca 0.0012 0.0012 0.0012  3 Tc 3.00, 3 Fe 3.06, 6 Ca 3.17
Ca 0.4988 0.4988 0.4988  3 Tc 3.00, 3 Fe 3.06, 6 Ca 3.17
Tc 0.7500 0.7500 0.7500  6 Ca 3.00, 6 Tc 3.17
Fe 0.2500 0.2500 0.2500  6 Ca 3.06, 6 Fe 3.17

Values from the calculation:
**ΔH_f (0 K)**: 858 meV/atom
**ρ**: 4.6 g/cm³
**Excess energy over the best structure of this formula in the dataset**: 512 meV per atom
**Spin magnetization**: 1.02 μB per formula unit